## LiAg3Ge (PBE-GGA)

Data for LiAg3Ge after structural relaxation.

Calculated values
crystal system = monoclinic
E_form = -30 meV per atom
total magnetic moment = 0.000 μB/atom
theoretical density = 7.339 Mg/m³
electronic total energy = -3.047 eV/atom

```
data_LiAg3Ge
_chemical_formula_sum 'Li2 Ag6 Ge2'
_symmetry_space_group_name_H-M 'P 1 21/m 1'
_symmetry_Int_Tables_number 11
_symmetry_space_group_name_Hall '-P 2yb'
_cell_length_a 5.205
_cell_length_b 7.523
_cell_length_c 5.318
_cell_angle_alpha 90.00
_cell_angle_beta 118.80
_cell_angle_gamma 90.00
loop_
_atom_site_label
_atom_site_type_symbol
_atom_site_fract_x
_atom_site_fract_y
_atom_site_fract_z
Li1 Li 0.146 0.250 0.325
Ag1 Ag 0.111 0.250 0.808
Ag2 Ag 0.369 0.563 0.681
Ge1 Ge 0.361 0.750 0.151
```